Entry from Alexandria: a geometry-optimized Mg2InSi structure (PBE-GGA).

Properties
uncorrected formation energy: 0.0310 eV per atom
density of states at the Fermi level: 0.1837 states/eV/atom
theoretical density: 3.61 g/cm3

Unit cell a=6.6723 b=6.6723 c=4.6795 alpha=69.55 beta=69.55 gamma=26.95
Last column: nearest neighbours and their distance in Å.
Positions (direct):
Mg (0.0094, 0.0094, 0.9925)  4 Si 2.81-2.82, 2 Mg 3.11
Mg (0.7987, 0.7987, 0.6997)  2 Si 2.80, 4 In 3.05-3.06, 2 Mg 3.11
Si (0.4913, 0.4913, 0.5117)  6 Mg 2.80-2.82, 2 In 2.97, 2 Si 3.11
In (0.2006, 0.2006, 0.2961)  2 Si 2.97, 6 Mg 3.05-3.31, 2 In 3.11

Entry from Alexandria: a geometry-optimized MgIn3Si structure (PBE-GGA).

Properties
excess energy over the best structure of this formula in the dataset: 36.42 kJ per mole of atoms
uncorrected formation energy: 0.7754 eV per atom
density of states at the Fermi level: 1.0473 states/eV/atom
theoretical density: 4.27 g/cm3

Unit cell a=5.3631 b=5.3631 c=5.3631 alpha=90.00 beta=90.00 gamma=90.00
Last column: nearest neighbours and their distance in Å.
Positions (direct):
In (0.5000, 0.0000, 0.0000)  2 Mg 2.68
Si (0.5000, 0.5000, 0.5000)  12 In 3.79
In (0.0000, 0.5000, 0.0000)  2 Mg 2.68
Mg (0.0000, 0.0000, 0.0000)  6 In 2.68
In (0.0000, 0.0000, 0.5000)  2 Mg 2.68

Entry from Alexandria: a geometry-optimized MgIn3Si structure (PBE-GGA).

Properties
excess energy over the best structure of this formula in the dataset: 0.00 kJ per mole of atoms
uncorrected formation energy: 0.3980 eV per atom
density of states at the Fermi level: 0.8818 states/eV/atom
theoretical density: 4.53 g/cm3

Unit cell a=5.2609 b=5.2609 c=5.2609 alpha=90.00 beta=90.00 gamma=90.00
Last column: nearest neighbours and their distance in Å.
Positions (direct):
In (0.0000, 0.5000, 0.0000)  2 Si 2.63
Si (0.0000, 0.0000, 0.0000)  6 In 2.63
In (0.0000, 0.0000, 0.5000)  2 Si 2.63
In (0.5000, 0.0000, 0.0000)  2 Si 2.63
Mg (0.5000, 0.5000, 0.5000)  12 In 3.72